The following is a PBE-GGA calculation of AlCr2B6 after structural relaxation, from Alexandria via LeMat-Bulk.

Summary:
- total magnetic moment (μB/atom) = 0.313
- total energy (Ha/atom) = -0.267
- ρ (g/cm3) = 4.58
- formation enthalpy at 0 K (meV/atom) = -250.6
- V (Å³ per cell) = 71.0

Lattice parameters (Å, degrees): 5.1465 5.1465 3.0954 90.00 90.00 120.00
With the nearest neighbours (Å) after each atom.
Space group P6/mmm (No. 191)
Asymmetric unit:
Al  0.0000  0.0000  0.0000 [1 per cell]  12 B 2.31
Cr  0.3333  0.6667  0.0000 [2 per cell]  12 B 2.31
B  0.0000  0.3341  0.5000 [6 per cell]  3 B 1.71-1.72

---

The following is a PBE-GGA calculation of AlCrB after structural relaxation, from Alexandria via LeMat-Bulk.

Summary:
- total magnetic moment (μB/atom) = 0.000
- total energy (Ha/atom) = -0.260
- ρ (g/cm3) = 4.83
- energy above the lowest structure with this stoichiometry (kJ/mol of atoms) = 0.0
- formation enthalpy at 0 K (meV/atom) = -388.3
- V (Å³ per cell) = 123.6

Lattice parameters (Å, degrees): 3.0047 13.8581 2.9674 90.00 90.00 90.00
With the nearest neighbours (Å) after each atom.
Space group Cmcm (No. 63)
Asymmetric unit:
Al  0.0000  0.1916  0.2500 [4 per cell]  1 B 2.21
Cr  0.0000  0.4158  0.2500 [4 per cell]  6 B 2.21-2.23
B  0.0000  0.0324  0.2500 [4 per cell]  2 B 1.73

---

The following is a PBE-GGA calculation of AlCrB3 after structural relaxation, from Alexandria via LeMat-Bulk.

Summary:
- total magnetic moment (μB/atom) = 0.000
- total energy (Ha/atom) = -0.207
- ρ (g/cm3) = 3.28
- energy above the lowest structure with this stoichiometry (kJ/mol of atoms) = 0.0
- formation enthalpy at 0 K (meV/atom) = 1043.8
- V (Å³ per cell) = 56.4

Lattice parameters (Å, degrees): 3.8361 3.8361 3.8361 90.00 90.00 90.00
With the nearest neighbours (Å) after each atom.
Space group Pm-3m (No. 221)
Asymmetric unit:
Al  0.0000  0.0000  0.0000 [1 per cell]  12 B 2.71
Cr  0.5000  0.5000  0.5000 [1 per cell]  6 B 1.92
B  0.0000  0.5000  0.5000 [3 per cell]  2 Cr 1.92

---

The following is a PBE-GGA calculation of AlCrB after structural relaxation, from Alexandria via LeMat-Bulk.

Summary:
- total magnetic moment (μB/atom) = 0.237
- total energy (Ha/atom) = -0.245
- ρ (g/cm3) = 4.32
- energy above the lowest structure with this stoichiometry (kJ/mol of atoms) = 38.1
- formation enthalpy at 0 K (meV/atom) = 6.7
- V (Å³ per cell) = 138.1

Lattice parameters (Å, degrees): 6.2411 3.6133 6.4662 90.00 108.77 90.00
With the nearest neighbours (Å) after each atom.
Space group C2/m (No. 12)
Asymmetric unit:
Al  0.1239  0.0000  0.3697 [4 per cell]  3 B 2.30-2.31, 3 Cr 2.50-2.51
Cr  0.2146  0.5000  0.1419 [4 per cell]  4 B 2.12-2.14
B  0.0975  0.5000  0.7922 [4 per cell]  4 Cr 2.12-2.14, 3 Al 2.30-2.31

---

The following is a PBE-GGA calculation of AlCrB4 after structural relaxation, from Alexandria via LeMat-Bulk.

Summary:
- total magnetic moment (μB/atom) = 0.187
- total energy (Ha/atom) = -0.253
- ρ (g/cm3) = 4.22
- formation enthalpy at 0 K (meV/atom) = -195.9
- V (Å³ per cell) = 96.2

Lattice parameters (Å, degrees): 2.9597 5.1192 6.3478 90.00 90.00 90.00
With the nearest neighbours (Å) after each atom.
Space group Immm (No. 71)
Asymmetric unit:
Al  0.0000  0.0000  0.0000 [2 per cell]  12 B 2.32-2.34
Cr  0.0000  0.0000  0.5000 [2 per cell]  12 B 2.33-2.34
B  0.0000  0.3349  0.2519 [8 per cell]  3 B 1.69-1.72

---

The following is a PBE-GGA calculation of AlCr3B after structural relaxation, from Alexandria via LeMat-Bulk.

Summary:
- total magnetic moment (μB/atom) = 1.567
- total energy (Ha/atom) = -0.212
- ρ (g/cm3) = 3.74
- energy above the lowest structure with this stoichiometry (kJ/mol of atoms) = 188.3
- formation enthalpy at 0 K (meV/atom) = 2086.9
- V (Å³ per cell) = 86.0

Lattice parameters (Å, degrees): 4.4144 4.4144 4.4144 90.00 90.00 90.00
With the nearest neighbours (Å) after each atom.
Space group Pm-3m (No. 221)
Asymmetric unit:
Al  0.0000  0.0000  0.0000 [1 per cell]  6 Cr 2.21
Cr  0.0000  0.0000  0.5000 [3 per cell]  2 Al 2.21
B  0.5000  0.5000  0.5000 [1 per cell]  12 Cr 3.12

---

The following is a PBE-GGA calculation of AlCrB3 after structural relaxation, from Alexandria via LeMat-Bulk.

Summary:
- total magnetic moment (μB/atom) = 0.064
- total energy (Ha/atom) = -0.168
- ρ (g/cm3) = 2.97
- energy above the lowest structure with this stoichiometry (kJ/mol of atoms) = 103.5
- formation enthalpy at 0 K (meV/atom) = 2116.9
- V (Å³ per cell) = 62.2

Lattice parameters (Å, degrees): 3.9625 3.9625 3.9625 90.00 90.00 90.00
With the nearest neighbours (Å) after each atom.
Space group Pm-3m (No. 221)
Asymmetric unit:
Al  0.0000  0.0000  0.0000 [1 per cell]  6 B 1.98
Cr  0.5000  0.5000  0.5000 [1 per cell]  12 B 2.80
B  0.0000  0.0000  0.5000 [3 per cell]  2 Al 1.98

---

The following is a PBE-GGA calculation of AlCrB2 after structural relaxation, from Alexandria via LeMat-Bulk.

Summary:
- total magnetic moment (μB/atom) = 0.000
- total energy (Ha/atom) = -0.222
- ρ (g/cm3) = 4.15
- formation enthalpy at 0 K (meV/atom) = 635.1
- V (Å³ per cell) = 161.2

Lattice parameters (Å, degrees): 5.7684 5.7684 4.8433 90.00 90.00 90.00
With the nearest neighbours (Å) after each atom.
Space group I-42d (No. 122)
Asymmetric unit:
Al  0.0000  0.0000  0.0000 [4 per cell]  4 B 2.19, 2 Cr 2.42
Cr  0.0000  0.0000  0.5000 [4 per cell]  4 B 2.06
B  0.2335  0.2500  0.6250 [8 per cell]  2 Cr 2.06, 2 Al 2.19

---

The following is a PBE-GGA calculation of AlCr3B after structural relaxation, from Alexandria via LeMat-Bulk.

Summary:
- total magnetic moment (μB/atom) = 0.000
- total energy (Ha/atom) = -0.284
- ρ (g/cm3) = 5.38
- energy above the lowest structure with this stoichiometry (kJ/mol of atoms) = 0.0
- formation enthalpy at 0 K (meV/atom) = 135.3
- V (Å³ per cell) = 59.8

Lattice parameters (Å, degrees): 3.9100 3.9100 3.9100 90.00 90.00 90.00
With the nearest neighbours (Å) after each atom.
Space group Pm-3m (No. 221)
Asymmetric unit:
Al  0.0000  0.0000  0.0000 [1 per cell]  12 Cr 2.76
Cr  0.0000  0.5000  0.5000 [3 per cell]  2 B 1.95
B  0.5000  0.5000  0.5000 [1 per cell]  6 Cr 1.95

---

The following is a PBE-GGA calculation of Cs2AlCrB after structural relaxation, from Alexandria via LeMat-Bulk.

Summary:
- total magnetic moment (μB/atom) = 1.011
- total energy (Ha/atom) = -0.122
- ρ (g/cm3) = 2.79
- formation enthalpy at 0 K (meV/atom) = 1026.6
- V (Å³ per cell) = 211.4

Lattice parameters (Å, degrees): 7.3067 7.3067 3.9603 90.00 90.00 90.00
With the nearest neighbours (Å) after each atom.
Space group P4/mmm (No. 123)
Asymmetric unit:
Cs  0.0000  0.5000  0.0000 [2 per cell]  2 Al 3.65, 2 Cs 3.96
Al  0.0000  0.0000  0.0000 [1 per cell]  2 B 1.98
Cr  0.5000  0.5000  0.5000 [1 per cell]  2 Cr 3.96, 8 Cs 4.16
B  0.0000  0.0000  0.5000 [1 per cell]  2 Al 1.98

---

The following is a PBE-GGA calculation of AlCr2Fe5B2 after structural relaxation, from Alexandria via LeMat-Bulk.

Summary:
- total magnetic moment (μB/atom) = 0.106
- total energy (Ha/atom) = -0.297
- ρ (g/cm3) = 7.15
- formation enthalpy at 0 K (meV/atom) = -214.2
- V (Å³ per cell) = 200.7

Lattice parameters (Å, degrees): 8.5193 8.5193 2.7651 90.00 90.00 90.00
With the nearest neighbours (Å) after each atom.
Space group P4/mbm (No. 127)
Asymmetric unit:
Al  0.0000  0.0000  0.0000 [2 per cell]  8 Fe 2.38
Cr  0.1770  0.3230  0.0000 [4 per cell]  3 B 2.40-2.60, 10 Fe 2.54-2.67
Fe  0.0000  0.5000  0.5000 [2 per cell]  4 B 2.04
Fe  0.0689  0.7831  0.5000 [8 per cell]  2 B 1.99
B  0.1240  0.6240  0.0000 [4 per cell]  6 Fe 1.99-2.04

---

The following is a PBE-GGA calculation of AlCr2BI after structural relaxation, from Alexandria via LeMat-Bulk.

Summary:
- formation energy (no corrections) (eV/atom) = 2.226
- total magnetic moment (μB/atom) = 1.627
- total energy (Ha/atom) = -0.148
- ρ (g/cm3) = 2.96
- V (Å³ per cell) = 150.9

Lattice parameters (Å, degrees): 5.1111 5.1111 5.7764 90.00 90.00 90.00
With the nearest neighbours (Å) after each atom.
Space group P4/mmm (No. 123)
Asymmetric unit:
Al  0.0000  0.0000  0.0000 [1 per cell]  2 I 2.89
Cr  0.0000  0.5000  0.5000 [2 per cell]  2 I 2.56
B  0.5000  0.5000  0.0000 [1 per cell]  4 Al 3.61, 8 Cr 3.86
I  0.0000  0.0000  0.5000 [1 per cell]  4 Cr 2.56

---

The following is a PBE-GGA calculation of AlCr2InB after structural relaxation, from Alexandria via LeMat-Bulk.

Summary:
- total magnetic moment (μB/atom) = 0.904
- total energy (Ha/atom) = -0.232
- ρ (g/cm3) = 5.98
- formation enthalpy at 0 K (meV/atom) = 154.8
- V (Å³ per cell) = 71.3

Lattice parameters (Å, degrees): 4.1749 4.1749 4.0878 90.00 90.00 90.00
With the nearest neighbours (Å) after each atom.
Space group P4/mmm (No. 123)
Asymmetric unit:
Al  0.0000  0.0000  0.0000 [1 per cell]  2 B 2.04
Cr  0.0000  0.5000  0.5000 [2 per cell]  2 B 2.09
In  0.5000  0.5000  0.0000 [1 per cell]  8 Cr 2.92, 4 Al 2.95
B  0.0000  0.0000  0.5000 [1 per cell]  2 Al 2.04, 4 Cr 2.09

---

The following is a PBE-GGA calculation of Al2CrInB after structural relaxation, from Alexandria via LeMat-Bulk.

Summary:
- total magnetic moment (μB/atom) = 0.802
- total energy (Ha/atom) = -0.125
- ρ (g/cm3) = 2.89
- energy above the lowest structure with this stoichiometry (kJ/mol of atoms) = 124.4
- formation enthalpy at 0 K (meV/atom) = 1894.7
- V (Å³ per cell) = 132.9

Lattice parameters (Å, degrees): 5.0774 5.0774 5.1547 90.00 90.00 90.00
With the nearest neighbours (Å) after each atom.
Space group P4/mmm (No. 123)
Asymmetric unit:
Al  0.0000  0.5000  0.0000 [2 per cell]  2 In 2.54
Cr  0.0000  0.0000  0.5000 [1 per cell]  2 In 2.58
In  0.0000  0.0000  0.0000 [1 per cell]  4 Al 2.54, 2 Cr 2.58
B  0.5000  0.5000  0.5000 [1 per cell]  4 Cr 3.59, 8 Al 3.62

---

The following is a PBE-GGA calculation of Al2CrInB after structural relaxation, from Alexandria via LeMat-Bulk.

Summary:
- total magnetic moment (μB/atom) = 0.768
- total energy (Ha/atom) = -0.173
- ρ (g/cm3) = 4.48
- energy above the lowest structure with this stoichiometry (kJ/mol of atoms) = 0.0
- formation enthalpy at 0 K (meV/atom) = 605.3
- V (Å³ per cell) = 85.8

Lattice parameters (Å, degrees): 4.1327 4.1327 5.0236 90.00 90.00 90.00
With the nearest neighbours (Å) after each atom.
Space group P4/mmm (No. 123)
Asymmetric unit:
Al  0.0000  0.5000  0.0000 [2 per cell]  2 B 2.07
Cr  0.0000  0.0000  0.5000 [1 per cell]  4 In 2.92, 8 Al 3.25
In  0.5000  0.5000  0.5000 [1 per cell]  2 B 2.51
B  0.5000  0.5000  0.0000 [1 per cell]  4 Al 2.07

---

The following is a PBE-GGA calculation of La2AlCrB after structural relaxation, from Alexandria via LeMat-Bulk.

Summary:
- total magnetic moment (μB/atom) = 0.000
- total energy (Ha/atom) = -0.203
- ρ (g/cm3) = 5.41
- formation enthalpy at 0 K (meV/atom) = 443.7
- V (Å³ per cell) = 112.8

Lattice parameters (Å, degrees): 5.2504 5.2504 4.0936 90.00 90.00 90.00
With the nearest neighbours (Å) after each atom.
Space group P4/mmm (No. 123)
Asymmetric unit:
La  0.0000  0.5000  0.0000 [2 per cell]  2 Cr 2.63
Al  0.0000  0.0000  0.5000 [1 per cell]  8 La 3.33, 4 B 3.71
Cr  0.5000  0.5000  0.0000 [1 per cell]  2 B 2.05
B  0.5000  0.5000  0.5000 [1 per cell]  2 Cr 2.05

---

The following is a PBE-GGA calculation of MnAlCr2B after structural relaxation, from Alexandria via LeMat-Bulk.

Summary:
- total magnetic moment (μB/atom) = 1.770
- total energy (Ha/atom) = -0.213
- ρ (g/cm3) = 3.72
- formation enthalpy at 0 K (meV/atom) = 1959.2
- V (Å³ per cell) = 87.8

Lattice parameters (Å, degrees): 4.4723 4.4723 4.3893 90.00 90.00 90.00
With the nearest neighbours (Å) after each atom.
Space group P4/mmm (No. 123)
Asymmetric unit:
Mn  0.0000  0.0000  0.0000 [1 per cell]  2 Al 2.19
Al  0.0000  0.0000  0.5000 [1 per cell]  2 Mn 2.19, 4 Cr 2.24
Cr  0.0000  0.5000  0.5000 [2 per cell]  2 Al 2.24
B  0.5000  0.5000  0.0000 [1 per cell]  8 Cr 3.13, 4 Mn 3.16

---

The following is a PBE-GGA calculation of AlCrB2N after structural relaxation, from Alexandria via LeMat-Bulk.

Summary:
- formation energy (no corrections) (eV/atom) = 1.806
- total magnetic moment (μB/atom) = 0.005
- total energy (Ha/atom) = -0.191
- ρ (g/cm3) = 3.24
- V (Å³ per cell) = 58.8

Lattice parameters (Å, degrees): 4.0936 4.0936 3.5083 90.00 90.00 90.00
With the nearest neighbours (Å) after each atom.
Space group P4/mmm (No. 123)
Asymmetric unit:
Al  0.0000  0.0000  0.0000 [1 per cell]  2 N 1.75
Cr  0.5000  0.5000  0.5000 [1 per cell]  8 B 2.70, 4 N 2.89
B  0.0000  0.5000  0.0000 [2 per cell]  2 Al 2.05
N  0.0000  0.0000  0.5000 [1 per cell]  2 Al 1.75